Record 1
Below is a geometry-optimized ZnFeIrBr2 structure, with properties calculated at the PBE level.

Values from the calculation:
formation energy (no corrections): 0.753 eV/atom
symmetry: P4/mmm
E: -3.636 eV/atom
total moment: 4.2 μB/f.u.

Unit cell a=5.107 b=4.873 c=5.107 alpha=90.00 beta=90.00 gamma=90.00
Last column: magnetic moment on the atom in μB.
Element x y z (fractional)
Zn  0.500  0.500  0.500  0.09
Ir  0.000  0.000  0.000  0.37
Fe  0.000  0.500  0.000  3.31
Br  0.000  0.000  0.500  0.05
Br  0.500  0.000  0.000  0.04

---

Record 2
Below is a geometry-optimized KFe2Br structure, with properties calculated at the PBE level.

Values from the calculation:
formation energy (no corrections): 0.997 eV/atom
symmetry: Cmmm
E: -3.927 eV/atom
total moment: 6.1 μB/f.u.

Unit cell a=3.215 b=3.215 c=10.048 alpha=90.00 beta=90.00 gamma=120.86
Last column: magnetic moment on the atom in μB.
Element x y z (fractional)
Br  0.500  0.500  0.750  0.14
Fe  0.000  0.000  0.956  3.05
Fe  0.000  0.000  0.544  3.05
K  0.500  0.500  0.250  -0.03